Below is a relaxed ZnBi2H2Pd7 crystal, with properties calculated at the PBE level.

Structure (POSCAR):
```
ZnBi2H2Pd7
1.0
4.057 -0.002 0.013
0.003 4.057 0.013
2.008 2.006 11.124
H Pd Zn Bi
2 7 1 2
Cartesian
4.039 4.034 9.249 H
2.029 2.027 1.901 H
4.041 2.010 9.196 Pd
2.030 2.027 0.013 Pd
2.028 4.051 1.954 Pd
2.019 2.016 3.981 Pd
4.053 2.023 1.954 Pd
2.015 4.038 9.196 Pd
4.050 4.045 7.170 Pd
0.000 0.000 0.000 Zn
4.049 4.044 4.294 Bi
2.020 2.017 6.857 Bi
```

Computed properties:
Its space-group type is C2/m. For the total energy, the calculation gives -4.610 eV per atom. The calculation puts the total magnetization at 0.0 μB/f.u.